Entry from Alexandria: a geometry-optimized Y8InSe6 structure (PBE).

Calculated values
final energy: -6.37 eV per atom
crystal system: trigonal
space-group type: No. 147

```
Y8InSe6
1.0
10.623 0.000 0.000
-5.312 9.200 0.000
0.000 0.000 4.042
Y In Se
8 1 6
direct
0.036 0.323 0.250
0.287 0.964 0.250
0.323 0.287 0.750
0.333 0.667 0.751
0.667 0.333 0.249
0.677 0.713 0.250
0.713 0.036 0.750
0.964 0.677 0.750
0.000 0.000 0.000
0.132 0.649 0.249
0.351 0.483 0.249
0.483 0.132 0.751
0.517 0.868 0.249
0.649 0.517 0.751
0.868 0.351 0.751
```


Entry from Alexandria: a geometry-optimized ZrCdHgW2 structure (PBE).

Calculated values
crystal system: tetragonal
space-group type: No. 123
energy of formation from the pure elements: 2.24 eV per atom

```
ZrCdHgW2
1.0
4.908 0.000 0.000
0.000 4.908 0.000
0.000 0.000 5.087
Zr Cd Hg W
1 1 1 2
direct
0.000 0.000 0.000
0.000 0.000 0.500
0.500 0.500 0.000
0.000 0.500 0.500
0.500 0.000 0.500
```


Entry from Alexandria: a geometry-optimized UBeCo2 structure (PBE).

Calculated values
crystal system: trigonal
space-group type: No. 166
energy of formation from the pure elements: 0.24 eV per atom
E above lowest polymorph: 396 meV per atom

```
UBeCo2
1.0
2.767 0.000 0.000
-1.384 2.396 0.000
0.000 0.000 23.348
U Be Co
3 3 6
direct
0.000 0.000 0.000
0.333 0.667 0.667
0.667 0.333 0.333
0.000 0.000 0.500
0.333 0.667 0.167
0.667 0.333 0.833
0.000 0.000 0.233
0.000 0.000 0.767
0.333 0.667 0.434
0.333 0.667 0.900
0.667 0.333 0.100
0.667 0.333 0.566
```


Entry from Alexandria: a geometry-optimized KTl3Br structure (PBE).

Calculated values
crystal system: cubic
space-group type: No. 221
E above lowest polymorph: 474 meV per atom

```
KTl3Br
1.0
6.381 0.000 0.000
0.000 6.381 0.000
0.000 0.000 6.381
K Tl Br
1 3 1
direct
0.000 0.000 0.000
0.000 0.000 0.500
0.000 0.500 0.000
0.500 0.000 0.000
0.500 0.500 0.500
```


Entry from Alexandria: a geometry-optimized CeNd2ThAs4 structure (PBE).

Calculated values
crystal system: monoclinic
space-group type: No. 10
energy of formation from the pure elements: -1.48 eV per atom

```
CeNd2ThAs4
1.0
7.368 0.000 0.000
0.000 4.260 0.000
-2.461 0.000 6.951
Ce Nd Th As
1 2 1 4
direct
0.000 0.000 0.000
0.500 0.000 0.500
0.500 0.500 0.000
0.000 0.500 0.500
0.245 0.500 0.248
0.246 0.000 0.749
0.754 0.000 0.251
0.755 0.500 0.752
```


Entry from Alexandria: a geometry-optimized InSeS5 structure (PBE).

Calculated values
final energy: -3.63 eV per atom
crystal system: monoclinic
space-group type: No. 15

```
InSeS5
1.0
10.058 -4.896 0.000
10.058 4.896 0.000
-0.653 0.000 3.600
In Se S
2 2 10
direct
0.000 0.500 0.000
0.500 0.000 0.500
0.229 0.771 0.750
0.771 0.229 0.250
0.066 0.182 0.879
0.182 0.066 0.379
0.198 0.414 0.555
0.361 0.639 0.250
0.414 0.198 0.055
0.586 0.802 0.945
0.639 0.361 0.750
0.802 0.586 0.445
0.818 0.934 0.621
0.934 0.818 0.121
```


It is found that the size of the total moment values, taken in the order of the records, are 0.00, 0.00, 2.07, 0.00, 0.79, 0.00 μB per formula unit.